Entry 1:
Density functional theory data (PBE) for a relaxed structure of Pm3Y2Th.

Computed properties:
- DFT formation energy (eV/atom) = 0.234
- Fermi-level density of states (states/eV/cell) = 41.31
- energy relative to the lowest polymorph listed for this composition (meV/atom) = 0

```
data_Pm3Y2Th
_symmetry_space_group_name_H-M 'C m c 21'
_symmetry_Int_Tables_number 36
_cell_length_a 9.471
_cell_length_b 13.239
_cell_length_c 6.553
_cell_angle_alpha 90.00
_cell_angle_beta 90.00
_cell_angle_gamma 90.00
loop_
_symmetry_equiv_pos_as_xyz
'x,y,z'
'-x,-y,z+1/2'
'-x,y,z'
'x,-y,z+1/2'
'x+1/2,y+1/2,z'
'-x+1/2,-y+1/2,z+1/2'
'-x+1/2,y+1/2,z'
'x+1/2,-y+1/2,z+1/2'
loop_
_atom_site_label
_atom_site_type_symbol
_atom_site_fract_x
_atom_site_fract_y
_atom_site_fract_z
_atom_site_occupancy
Pm1 Pm 0.000 0.087 0.000 1
Pm2 Pm 0.183 0.319 0.226 1
Y1 Y 0.181 0.426 0.741 1
Th1 Th 0.000 0.171 0.519 1
```

Entry 2:
Density functional theory data (PBE) for a relaxed structure of LiTe6Pd3.

Computed properties:
- formation energy without anion corrections (meV/atom) = -341.0
- Fermi-level density of states (states/eV/cell) = 15.39

```
data_LiTe6Pd3
_symmetry_space_group_name_H-M 'R 3'
_symmetry_Int_Tables_number 146
_symmetry_space_group_name_Hall 'R 3'
_cell_length_a 7.2989
_cell_length_b 7.2989
_cell_length_c 16.1543
_cell_angle_alpha 90.00
_cell_angle_beta 90.00
_cell_angle_gamma 120.00
loop_
_atom_site_label
_atom_site_type_symbol
_atom_site_fract_x
_atom_site_fract_y
_atom_site_fract_z
_atom_site_occupancy
Li1 Li 0.0000 0.0000 0.0000 1
Te1 Te 0.0186 0.6827 0.1073 1
Te2 Te 0.0299 0.3339 0.2825 1
Pd1 Pd 0.0000 0.0000 0.1927 1
Pd2 Pd 0.0000 0.0000 0.5249 1
Pd3 Pd 0.0000 0.0000 0.7136 1
```

Entry 3:
Density functional theory data (PBE) for a relaxed structure of Tc2PtSe.

Computed properties:
- formation energy without anion corrections (meV/atom) = 157.0
- Fermi-level density of states (states/eV/cell) = 6.36

```
data_Tc2PtSe
_symmetry_space_group_name_H-M 'C 1 m 1'
_symmetry_Int_Tables_number 8
_cell_length_a 9.333
_cell_length_b 2.933
_cell_length_c 4.663
_cell_angle_alpha 90.00
_cell_angle_beta 92.75
_cell_angle_gamma 90.00
loop_
_symmetry_equiv_pos_as_xyz
'x,y,z'
'x,-y,z'
'x+1/2,y+1/2,z'
'x+1/2,-y+1/2,z'
loop_
_atom_site_label
_atom_site_type_symbol
_atom_site_fract_x
_atom_site_fract_y
_atom_site_fract_z
_atom_site_occupancy
Tc1 Tc 0.000 0.000 0.000 1
Tc2 Tc 0.222 0.500 0.205 1
Pt1 Pt 0.459 0.000 0.470 1
Se1 Se 0.246 0.000 0.790 1
```

Number 1: mass density 6.830 g/cm³, final energy -0.4066 Ry per atom. Number 2: mass density 7.298 g/cm³, final energy -0.2922 Ry per atom. Number 3: mass density 12.245 g/cm³, final energy -0.5444 Ry per atom.